An optimized crystal structure of AlCu2Se, computed with PBE.

Structure (POSCAR):
```
AlCu2Se
1.0
3.4650 0.0000 0.0000
0.0000 3.4650 0.0000
0.0000 0.0000 5.1457
Al Cu Se
1 2 1
Direct
0.0000 0.0000 0.0000
0.5000 0.5000 0.2347
0.5000 0.5000 0.7653
0.0000 0.0000 0.5000
```

Properties
**Symmetry**: P4/mmm (123)
**Crystal system**: tetragonal
**Formation energy without anion corrections**: 0.0432 eV/atom

***

An optimized crystal structure of Sm5PtSe5, computed with PBE.

Structure (POSCAR):
```
Sm5PtSe5
1.0
6.6371 -2.9668 0.0000
6.6371 2.9668 0.0000
-2.6256 0.0000 7.9555
Sm Pt Se
5 1 5
Direct
0.0000 0.0000 0.0000
0.3382 0.3382 0.6676
0.3451 0.3451 0.1680
0.6549 0.6549 0.8320
0.6618 0.6618 0.3324
0.5000 0.5000 0.0000
0.1719 0.1719 0.8401
0.1777 0.1777 0.3318
0.5000 0.5000 0.5000
0.8223 0.8223 0.6682
0.8281 0.8281 0.1599
```

Properties
**Symmetry**: C2/m (12)
**Crystal system**: monoclinic
**Formation energy without anion corrections**: -1.7040 eV/atom